CaNp4O12 | PBE | relaxed

a = 8.1076 Å, b = 8.2788 Å, c = 8.2806 Å
α = 90.00°, β = 90.00°, γ = 90.00°
Closest atoms and distances in Å follow each position.
Space group Immm (No. 71)
One atom of each set of equivalent atoms:
Ca 0.0000 0.0000 0.0000 x2  8 O 2.54-2.55
Np 0.2500 0.2500 0.2500 x8  6 O 2.07-2.12
O 0.0000 0.2881 0.2876 x8  2 Np 2.07
O 0.1956 0.0000 0.2408 x8  2 Np 2.12
O 0.1958 0.2393 0.0000 x8  2 Np 2.12

Calculated values
The calculation puts the calculated total energy at -9.538 eV per atom. Its energy relative to the elements, uncorrected is -2876 meV per atom. As for the total magnetic moment: 6.00 μB/f.u. The value obtained for the density of states at the Fermi level is 11.64 states/eV/f.u.